DFT (PBE) results for a relaxed HgP2W crystal.

Cell: 4.582 3.464 4.730 Å, 68.49 90.00 90.00°
Fractional positions:
Hg: 0.500 0.711 0.703
P: 0.500 0.434 0.257
W: 0.000 0.325 0.474
P: 0.000 0.030 0.065

VASP energy: -0.4160 Ry/atom
total moment: 0.0 μB/f.u.
formation energy from the elements: 1.43 eV per formula unit

DFT (PBE) results for a relaxed Mg4In2Hg crystal.

Cell: 6.072 6.072 6.072 Å, 109.83 109.29 109.29°
Fractional positions:
Hg: 0.000 0.000 0.000
Mg: 0.500 0.000 0.000
In: 0.500 0.000 0.500
Mg: 0.000 0.000 0.500
In: 0.500 0.500 0.000
Mg: 0.000 0.500 0.000
Mg: 0.500 0.500 0.500

VASP energy: -0.1331 Ry/atom
polymorph energy (0 for the lowest one): 0.0080 eV/atom
total moment: 0.0 μB/f.u.
formation energy from the elements: -0.52 eV per formula unit

DFT (PBE) results for a relaxed CrFePt2 crystal.

Cell: 3.731 2.768 6.172 Å, 63.40 90.00 90.00°
Last column: magnetic moment on the atom in μB.
Fractional positions:
Pt: 0.000 0.497 0.502  0.13
Fe: 0.500 0.750 0.750  2.92
Pt: 0.000 0.003 0.998  0.13
Cr: 0.500 0.250 0.250  -2.81

VASP energy: -0.5725 Ry/atom
total moment: 0.2 μB/f.u.
formation energy from the elements: -0.99 eV per formula unit

DFT (PBE) results for a relaxed TlRu2Se crystal.

Cell: 2.960 2.960 8.733 Å, 90.00 90.00 90.00°
Fractional positions:
Ru: 0.000 0.000 0.045
Ru: 0.500 0.500 0.243
Tl: 0.500 0.500 0.797
Se: 0.000 0.000 0.415

VASP energy: -0.4275 Ry/atom
polymorph energy (0 for the lowest one): 0.0000 eV/atom
total moment: 0.0 μB/f.u.
energy relative to the elements, uncorrected: 0.28 eV/atom

DFT (PBE) results for a relaxed ZrU2Tl3Te6 crystal.

Cell: 7.437 7.437 8.779 Å, 98.14 98.14 119.97°
Last column: magnetic moment on the atom in μB.
Fractional positions:
Te: 0.392 0.071 0.213  -0.05
Te: 0.071 0.392 0.213  -0.05
Te: 0.929 0.608 0.787  -0.05
U: 0.335 0.665 0.000  2.74
Tl: 0.172 0.828 0.500  0.00
U: 0.665 0.335 0.000  2.74
Tl: 0.500 0.500 0.500  0.00
Te: 0.752 0.752 0.217  -0.04
Tl: 0.828 0.172 0.500  0.00
Zr: 0.000 0.000 0.000  0.64
Te: 0.608 0.929 0.787  -0.05
Te: 0.248 0.248 0.783  -0.04

VASP energy: -0.3909 Ry/atom
total moment: 7.0 μB/f.u.
energy relative to the elements, uncorrected: -0.56 eV/atom

DFT (PBE) results for a relaxed LiHfAu crystal.

Cell: 3.447 3.447 5.061 Å, 109.91 109.91 90.00°
Fractional positions:
Hf: 0.616 0.616 0.232
Li: 0.295 0.295 0.590
Au: 0.939 0.939 0.878

VASP energy: -0.3884 Ry/atom
polymorph energy (0 for the lowest one): 0.0162 eV/atom
total moment: 0.0 μB/f.u.
formation energy from the elements: -0.71 eV per formula unit

DFT (PBE) results for a relaxed Ac6Ir2Pt3I crystal.

Cell: 4.366 9.166 9.822 Å, 101.34 102.84 90.00°
Fractional positions:
Pt: 0.500 0.500 0.000
Ac: 0.011 0.286 0.023
Ac: 0.669 0.579 0.337
Pt: 0.843 0.162 0.686
Ac: 0.989 0.714 0.977
I: 0.500 0.000 0.000
Ac: 0.317 0.891 0.634
Ac: 0.683 0.109 0.366
Ir: 0.832 0.666 0.664
Ac: 0.331 0.421 0.663
Pt: 0.157 0.838 0.314
Ir: 0.168 0.334 0.336

VASP energy: -0.4492 Ry/atom
total moment: 0.0 μB/f.u.
energy relative to the elements, uncorrected: -0.94 eV/atom

DFT (PBE) results for a relaxed Ba2Li3Hg2 crystal.

Cell: 4.592 6.583 8.426 Å, 113.67 90.00 110.41°
Fractional positions:
Li: 0.342 0.683 0.575
Hg: 0.855 0.709 0.789
Ba: 0.869 0.737 0.230
Li: 0.500 0.000 0.000
Ba: 0.131 0.263 0.770
Hg: 0.145 0.291 0.211
Li: 0.658 0.317 0.425

VASP energy: -0.1295 Ry/atom
total moment: 0.0 μB/f.u.
formation energy from the elements: -2.14 eV per formula unit